No. 1
LiCa2NbGa | meta-GGA SCAN | single point on PBEsol structure

Output
**Space group**: P4/mmm, No. 123
**Electronic total energy**: -68.167 eV/cell
**Energy relative to the elements**: 0.605 eV per atom

Lattice parameters (Å, degrees): 4.498 5.188 5.188 90.00 90.00 90.00
Last column: magnetic moment on the atom in μB.
Fractional positions:
Li: 0.000 0.000 0.000  -0.03
Nb: 0.500 0.500 0.500  2.25
Ca: 0.000 0.000 0.500  0.05
Ca: 0.000 0.500 0.000  0.05
Ga: 0.500 0.000 0.000  -0.10

No. 2
HfMg3N | meta-GGA SCAN | single point on PBEsol structure

Output
**Formation energy without anion corrections**: 2137.5 meV per atom
**Space group**: Pm-3m, No. 221
**Electronic total energy**: -76.198 eV/cell

Lattice parameters (Å, degrees): 5.730 5.730 5.730 90.00 90.00 90.00
Last column: magnetic moment on the atom in μB.
Fractional positions:
N: 0.500 0.500 0.500  1.78
Hf: 0.000 0.000 0.000  -1.35
Mg: 0.000 0.500 0.000  -0.04
Mg: 0.000 0.000 0.500  -0.04
Mg: 0.500 0.000 0.000  -0.04

No. 3
Na3Mg | meta-GGA SCAN | single point on PBEsol structure

Output
**Space group**: R-3m, No. 166
**Electronic total energy**: -17.320 eV/cell
**Energy relative to the elements**: 0.075 eV per atom

Lattice parameters (Å, degrees): 3.509 3.509 11.909 81.53 81.53 60.00
Fractional positions:
Na: 0.255 0.255 0.235
Na: 0.745 0.745 0.765
Na: 0.500 0.500 0.500
Mg: 0.000 0.000 0.000

No. 4
BePtOF2 | meta-GGA SCAN | single point on PBEsol structure

Output
**Formation energy without anion corrections**: -1480.4 meV per atom
**Space group**: P4/mmm, No. 123
**Electronic total energy**: -95.260 eV/cell
**Distance to the lowest polymorph of the same formula**: 0.0 meV per atom

Lattice parameters (Å, degrees): 3.098 3.098 5.856 90.00 90.00 90.00
Last column: magnetic moment on the atom in μB.
Fractional positions:
Be: 0.000 0.000 0.000  0.00
F: 0.000 0.500 0.000  0.00
F: 0.500 0.000 0.000  0.00
Pt: 0.500 0.500 0.500  0.20
O: 0.000 0.000 0.500  0.11

No. 5
KTe4W | meta-GGA SCAN | single point on PBEsol structure

Output
**Formation energy without anion corrections**: 931.3 meV per atom
**Space group**: F-43m, No. 216
**Electronic total energy**: -221.433 eV/cell

Lattice parameters (Å, degrees): 6.336 6.336 6.336 60.00 60.00 60.00
Last column: magnetic moment on the atom in μB.
Fractional positions:
W: 0.750 0.750 0.750  3.50
Te: 0.376 0.376 0.871  -0.06
Te: 0.376 0.376 0.376  -0.06
Te: 0.376 0.871 0.376  -0.06
Te: 0.871 0.376 0.376  -0.06
K: 0.000 0.000 0.000  0.02

No. 6
Co4Ir3 | meta-GGA SCAN | single point on PBEsol structure

Output
**Space group**: I4/mmm, No. 139
**Electronic total energy**: -282.031 eV/cell
**Energy relative to the elements**: 0.069 eV per atom

Lattice parameters (Å, degrees): 2.634 2.634 12.301 96.15 96.15 90.00
Last column: magnetic moment on the atom in μB.
Fractional positions:
Ir: 0.710 0.710 0.420  0.07
Ir: 0.290 0.290 0.580  0.07
Ir: 0.000 0.000 0.000  0.57
Co: 0.427 0.427 0.854  1.94
Co: 0.137 0.137 0.274  1.88
Co: 0.863 0.863 0.726  1.88
Co: 0.573 0.573 0.146  1.94

No. 7
CaSi2Os | meta-GGA SCAN | single point on PBEsol structure

Output
**Formation energy without anion corrections**: 15.3 meV per atom
**Space group**: Immm, No. 71
**Electronic total energy**: -101.514 eV/cell

Lattice parameters (Å, degrees): 2.992 5.410 5.410 59.94 73.95 73.95
Fractional positions:
Ca: 0.500 0.000 0.000
Os: 0.000 0.500 0.500
Si: 0.289 0.711 0.711
Si: 0.711 0.289 0.289

No. 8
ZrReAs2 | meta-GGA SCAN | single point on PBEsol structure

Output
**Space group**: R-3m, No. 166
**Electronic total energy**: -142.287 eV/cell
**Energy relative to the elements**: -0.027 eV per atom

Lattice parameters (Å, degrees): 3.099 3.099 8.319 79.26 79.26 60.00
Fractional positions:
As: 0.759 0.759 0.723
As: 0.241 0.241 0.277
Re: 0.500 0.500 0.500
Zr: 0.000 0.000 0.000

No. 9
AsPb2Br | meta-GGA SCAN | single point on PBEsol structure

Output
**Formation energy without anion corrections**: -244.8 meV per atom
**Space group**: Imm2, No. 44
**Electronic total energy**: -192.192 eV/cell
**Distance to the lowest polymorph of the same formula**: 153.9 meV per atom

Lattice parameters (Å, degrees): 3.910 3.993 8.090 104.29 103.98 90.00
Fractional positions:
Pb: 0.028 0.028 0.057
Pb: 0.813 0.313 0.627
Br: 0.204 0.704 0.409
As: 0.454 0.454 0.908

No. 10
LiCrFeO4 | meta-GGA SCAN | single point on PBEsol structure

Output
**Formation energy without anion corrections**: -2091.3 meV per atom
**Space group**: Imma, No. 74
**Electronic total energy**: -156.935 eV/cell
**Distance to the lowest polymorph of the same formula**: 0.0 meV per atom

Lattice parameters (Å, degrees): 5.729 5.718 5.718 58.74 59.93 59.93
Last column: magnetic moment on the atom in μB.
Fractional positions:
O: 0.266 0.214 0.255  0.05
O: 0.734 0.786 0.745  0.05
O: 0.734 0.238 0.738  0.03
O: 0.734 0.245 0.286  0.05
O: 0.266 0.762 0.262  0.03
O: 0.266 0.755 0.714  0.05
O: 0.710 0.762 0.262  0.03
O: 0.290 0.238 0.738  0.03
Fe: 0.500 0.000 0.000  1.80
Fe: 0.500 0.500 0.500  1.80
Cr: 0.500 0.000 0.500  2.68
Cr: 0.000 0.000 0.500  2.68
Li: 0.126 0.624 0.124  0.01
Li: 0.874 0.376 0.876  0.01

No. 11
InBrCl | meta-GGA SCAN | single point on PBEsol structure

Output
**Formation energy without anion corrections**: -965.8 meV per atom
**Space group**: Fmm2, No. 42
**Electronic total energy**: -127.442 eV/cell

Lattice parameters (Å, degrees): 6.329 6.540 6.329 65.79 81.24 114.21
Fractional positions:
Cl: 0.846 0.000 0.758
Cl: 0.242 0.000 0.154
Br: 0.189 0.594 0.811
Br: 0.595 0.406 0.405
In: 0.218 0.000 0.782
In: 0.714 0.000 0.286

No. 12
AlReMo2 | meta-GGA SCAN | single point on PBEsol structure

Output
**Space group**: C2/m, No. 12
**Electronic total energy**: -148.973 eV/cell
**Energy relative to the elements**: -0.088 eV per atom

Lattice parameters (Å, degrees): 2.702 5.098 5.098 117.65 99.19 99.19
Fractional positions:
Mo: 0.000 0.000 0.500
Mo: 0.000 0.500 0.000
Re: 0.500 0.000 0.000
Al: 0.500 0.500 0.500

Q: Number 8 is which compound?
A: ZrReAs2